i:
Compound: BiHI2
Source: Alexandria
Functional: GGA-PBE
Structure: optimized geometry

Cell lengths 7.5433, 7.5433, 6.7473 Å; angles 56.01, 56.01, 90.00 degrees
Fractional positions:
1 I 0.5703 0.1250 0.2500
2 I 0.1797 0.6250 0.2500
3 I 0.3750 0.4297 0.7500
4 I 0.8750 0.8203 0.7500
5 H 0.5000 0.5000 0.0000
6 H 0.2500 0.7500 0.5000
7 Bi 0.0000 0.0000 0.0000
8 Bi 0.7500 0.2500 0.5000

D(E_F): 0.3170 states/eV/atom
Magnetization: 0.000 μB/cell

ii:
Compound: BiHI2
Source: Alexandria
Functional: GGA-PBE
Structure: optimized geometry

Cell lengths 5.4161, 5.4161, 5.4161 Å; angles 60.00, 60.00, 60.00 degrees
Site moments in Bohr magnetons follow the coordinates.
Fractional positions:
1 I 0.2500 0.2500 0.2500  0.00
2 I 0.7500 0.7500 0.7500  0.00
3 H 0.0000 0.0000 0.0000  0.10
4 Bi 0.5000 0.5000 0.5000  -0.10

D(E_F): 0.3716 states/eV/atom
Magnetization: 0.105 μB/cell

Most stable: i

i:
Compound: BiHI3
Source: Alexandria
Functional: GGA-PBE
Structure: optimized geometry

Cell lengths 6.1597, 6.1597, 6.1597 Å; angles 90.00, 90.00, 90.00 degrees
Site moments in Bohr magnetons follow the coordinates.
Fractional positions:
1 I 0.0000 0.5000 0.0000  0.00
2 I 0.0000 0.0000 0.5000  0.00
3 I 0.5000 0.0000 0.0000  0.01
4 H 0.5000 0.5000 0.5000  0.38
5 Bi 0.0000 0.0000 0.0000  0.00

D(E_F): 0.0000 states/eV/atom
Magnetization: 1.000 μB/cell

ii:
Compound: BiHI3
Source: Alexandria
Functional: GGA-PBE
Structure: optimized geometry

Cell lengths 7.8339, 7.8339, 8.4413 Å; angles 109.79, 108.82, 106.71 degrees
Fractional positions:
1 Bi 0.6770 0.7274 0.4044
2 Bi 0.3230 0.2726 0.5956
3 H 0.6438 0.9234 0.5673
4 H 0.3562 0.0766 0.4327
5 I 0.8601 0.0570 0.2769
6 I 0.2199 0.4168 0.2769
7 I 0.7801 0.5832 0.7231
8 I 0.6480 0.2803 0.9283
9 I 0.1399 0.9430 0.7231
10 I 0.3520 0.7197 0.0717

D(E_F): 0.5278 states/eV/atom
Magnetization: 0.000 μB/cell

Most stable: ii

i:
Compound: BiH3I
Source: Alexandria
Functional: GGA-PBE
Structure: optimized geometry

Cell lengths 4.2158, 4.2158, 4.2158 Å; angles 90.00, 90.00, 90.00 degrees
Fractional positions:
1 I 0.0000 0.0000 0.0000
2 H 0.0000 0.5000 0.0000
3 H 0.0000 0.0000 0.5000
4 H 0.5000 0.0000 0.0000
5 Bi 0.5000 0.5000 0.5000

D(E_F): 0.7011 states/eV/atom
Magnetization: 0.000 μB/cell

ii:
Compound: BiH3I
Source: Alexandria
Functional: GGA-PBE
Structure: optimized geometry

Cell lengths 4.2750, 4.2750, 4.2750 Å; angles 90.00, 90.00, 90.00 degrees
Fractional positions:
1 I 0.5000 0.5000 0.5000
2 H 0.0000 0.5000 0.0000
3 H 0.0000 0.0000 0.5000
4 H 0.5000 0.0000 0.0000
5 Bi 0.0000 0.0000 0.0000

D(E_F): 0.2615 states/eV/atom
Magnetization: 0.000 μB/cell

Most stable: ii

i:
Compound: BiHI2N
Source: Alexandria
Functional: GGA-PBE
Structure: optimized geometry

Cell lengths 6.4188, 6.4188, 2.9701 Å; angles 90.00, 90.00, 90.00 degrees
Fractional positions:
1 I 0.0000 0.5000 0.0000
2 I 0.5000 0.0000 0.0000
3 H 0.0000 0.0000 0.0000
4 Bi 0.5000 0.5000 0.5000
5 N 0.0000 0.0000 0.5000

D(E_F): 1.6448 states/eV/atom
Magnetization: 0.000 μB/cell

ii:
Compound: BiHI2N
Source: Alexandria
Functional: GGA-PBE
Structure: optimized geometry

Cell lengths 6.1962, 6.1962, 4.7470 Å; angles 90.00, 90.00, 90.00 degrees
Site moments in Bohr magnetons follow the coordinates.
Fractional positions:
1 I 0.0000 0.5000 0.0000  0.08
2 I 0.5000 0.0000 0.0000  0.08
3 H 0.5000 0.5000 0.5000  0.38
4 Bi 0.0000 0.0000 0.0000  -0.04
5 N 0.0000 0.0000 0.5000  1.25

D(E_F): 0.1757 states/eV/atom
Magnetization: 3.000 μB/cell

Most stable: ii

i:
Compound: BiHIN2
Source: Alexandria
Functional: GGA-PBE
Structure: optimized geometry

Cell lengths 4.6459, 4.6459, 6.2577 Å; angles 90.00, 90.00, 90.00 degrees
Site moments in Bohr magnetons follow the coordinates.
Fractional positions:
1 I 0.0000 0.0000 0.5000  0.15
2 H 0.5000 0.5000 0.5000  0.36
3 Bi 0.0000 0.0000 0.0000  -0.08
4 N 0.0000 0.5000 0.0000  1.12
5 N 0.5000 0.0000 0.0000  1.12

D(E_F): 0.4668 states/eV/atom
Magnetization: 4.339 μB/cell

ii:
Compound: BiHIN2
Source: Alexandria
Functional: GGA-PBE
Structure: optimized geometry

Cell lengths 4.5501, 4.5501, 3.4809 Å; angles 90.00, 90.00, 90.00 degrees
Fractional positions:
1 I 0.0000 0.0000 0.5000
2 H 0.0000 0.0000 0.0000
3 Bi 0.5000 0.5000 0.5000
4 N 0.0000 0.5000 0.0000
5 N 0.5000 0.0000 0.0000

D(E_F): 0.5583 states/eV/atom
Magnetization: 0.000 μB/cell

Most stable: i

i:
Compound: BiHI2O
Source: Alexandria
Functional: GGA-PBE
Structure: optimized geometry

Cell lengths 6.4669, 6.4669, 2.9468 Å; angles 90.00, 90.00, 90.00 degrees
Site moments in Bohr magnetons follow the coordinates.
Fractional positions:
1 I 0.0000 0.5000 0.0000  0.03
2 I 0.5000 0.0000 0.0000  0.03
3 H 0.0000 0.0000 0.0000  -0.01
4 Bi 0.5000 0.5000 0.5000  -0.02
5 O 0.0000 0.0000 0.5000  0.50

D(E_F): 0.8543 states/eV/atom
Magnetization: 0.656 μB/cell

ii:
Compound: BiHI2O
Source: Alexandria
Functional: GGA-PBE
Structure: optimized geometry

Cell lengths 6.0559, 4.1962, 6.0559 Å; angles 90.00, 90.00, 90.00 degrees
Site moments in Bohr magnetons follow the coordinates.
Fractional positions:
1 I 0.0000 0.0000 0.5000  -0.02
2 I 0.5000 0.0000 0.0000  -0.03
3 H 0.0000 0.5000 0.0000  0.00
4 Bi 0.0000 0.0000 0.0000  0.01
5 O 0.5000 0.5000 0.5000  0.37

D(E_F): 1.8252 states/eV/atom
Magnetization: 0.429 μB/cell

iii:
Compound: BiHI2O
Source: Alexandria
Functional: GGA-PBE
Structure: optimized geometry

Cell lengths 6.3125, 6.3125, 4.2407 Å; angles 90.00, 90.00, 90.00 degrees
Site moments in Bohr magnetons follow the coordinates.
Fractional positions:
1 I 0.0000 0.5000 0.0000  -0.08
2 I 0.5000 0.0000 0.0000  -0.08
3 H 0.5000 0.5000 0.5000  0.37
4 Bi 0.0000 0.0000 0.0000  0.00
5 O 0.0000 0.0000 0.5000  -0.01

D(E_F): 1.0948 states/eV/atom
Magnetization: 0.686 μB/cell

Most stable: iii

i:
Compound: BiTe2HI
Source: Alexandria
Functional: GGA-PBE
Structure: optimized geometry

Cell lengths 4.5934, 4.5934, 6.2346 Å; angles 90.00, 90.00, 90.00 degrees
Fractional positions:
1 I 0.0000 0.0000 0.5000
2 H 0.0000 0.0000 0.0000
3 Te 0.0000 0.5000 0.0000
4 Te 0.5000 0.0000 0.0000
5 Bi 0.5000 0.5000 0.5000

D(E_F): 0.6110 states/eV/atom
Magnetization: 0.000 μB/cell

ii:
Compound: BiTe2HI
Source: Alexandria
Functional: GGA-PBE
Structure: optimized geometry

Cell lengths 6.0342, 6.0342, 6.2780 Å; angles 90.00, 90.00, 90.00 degrees
Site moments in Bohr magnetons follow the coordinates.
Fractional positions:
1 I 0.0000 0.0000 0.5000  0.10
2 H 0.5000 0.5000 0.5000  0.38
3 Te 0.0000 0.5000 0.0000  0.41
4 Te 0.5000 0.0000 0.0000  0.41
5 Bi 0.0000 0.0000 0.0000  -0.02

D(E_F): 1.3876 states/eV/atom
Magnetization: 2.627 μB/cell

Most stable: i

i:
Compound: In2BiHPb
Source: Alexandria
Functional: GGA-PBE
Structure: optimized geometry

Cell lengths 5.0829, 5.0829, 4.7764 Å; angles 90.00, 90.00, 90.00 degrees
Fractional positions:
1 Pb 0.5000 0.5000 0.5000
2 H 0.0000 0.0000 0.0000
3 Bi 0.0000 0.0000 0.5000
4 In 0.0000 0.5000 0.0000
5 In 0.5000 0.0000 0.0000

D(E_F): 0.3384 states/eV/atom
Magnetization: 0.000 μB/cell

ii:
Compound: In2BiHPb
Source: Alexandria
Functional: GGA-PBE
Structure: optimized geometry

Cell lengths 4.9765, 4.9765, 4.9969 Å; angles 90.00, 90.00, 90.00 degrees
Fractional positions:
1 Pb 0.0000 0.0000 0.5000
2 H 0.0000 0.0000 0.0000
3 Bi 0.5000 0.5000 0.5000
4 In 0.0000 0.5000 0.0000
5 In 0.5000 0.0000 0.0000

D(E_F): 0.5378 states/eV/atom
Magnetization: 0.000 μB/cell

Most stable: ii